[1]
The following is a PBE calculation of a relaxed KSrSn6 crystal, from Alexandria via LeMat-Bulk.

Summary:
- energy (eV/cell) = -28.692
- energy of formation from the pure elements (meV/atom) = -237

```
KSrSn6
1.0
-0.474 5.377 1.907
-1.163 2.224 -6.561
-5.417 -1.911 4.043
K Sn Sr
1 6 1
Cartesian
-2.930 0.506 -2.156
-4.975 -1.482 2.943
-3.964 2.420 0.784
-0.923 3.485 -1.464
-4.632 3.662 -2.883
-5.465 -0.507 0.071
-2.618 -0.642 1.160
-1.759 4.564 -4.712
```


[2]
The following is a PBE calculation of a relaxed LiVAsRu crystal, from Alexandria via LeMat-Bulk.

Summary:
- energy (eV/cell) = -26.080
- energy of formation from the pure elements (meV/atom) = -281

```
LiVAsRu
1.0
-4.060 -0.757 -0.896
-2.516 -1.750 2.910
-3.033 2.303 1.832
V As Li Ru
1 1 1 1
Cartesian
-4.804 -0.102 1.923
0.000 0.000 0.000
-2.402 -0.051 0.961
-7.207 -0.153 2.884
```


[3]
The following is a PBE calculation of a relaxed K2ZnGa4Ge3 crystal, from Alexandria via LeMat-Bulk.

Summary:
- energy (eV/cell) = -30.619
- energy of formation from the pure elements (meV/atom) = -119

```
K2ZnGa4Ge3
1.0
-0.500 4.498 -0.665
-4.487 -0.597 -0.661
-1.738 1.367 10.561
Ge Ga K Zn
3 4 2 1
Cartesian
-0.869 0.683 5.281
-2.468 -0.122 1.035
-1.763 3.439 8.863
-1.344 3.110 6.317
0.000 0.000 0.000
-2.887 0.208 3.582
-2.494 1.951 -0.663
-3.550 0.729 7.606
-0.682 2.589 2.292
-3.363 2.634 4.618
```


- Which of these has the highest energy of formation from the pure elements?
  K2ZnGa4Ge3